Entry from Alexandria via LeMat-Bulk: a geometry-optimized CaTb15Dy4 structure (PBE).

extended XYZ file:
```
20
Lattice="5.045 0.000 0.000 0.000 5.045 0.000 0.000 0.000 25.267" Properties=species:S:1:pos:R:3 pbc="T T T"
Ca 0.000 0.000 0.000
Tb 2.523 2.523 0.000
Tb 2.523 2.523 5.080
Tb 2.523 2.523 10.118
Tb 2.523 2.523 15.149
Tb 2.523 2.523 20.187
Tb 2.523 0.000 2.634
Tb 2.523 0.000 7.621
Tb 2.523 0.000 12.634
Tb 2.523 0.000 17.646
Tb 2.523 0.000 22.633
Tb 0.000 2.523 2.634
Tb 0.000 2.523 7.621
Tb 0.000 2.523 12.634
Tb 0.000 2.523 17.646
Tb 0.000 2.523 22.633
Dy 0.000 0.000 5.089
Dy 0.000 0.000 10.124
Dy 0.000 0.000 15.143
Dy 0.000 0.000 20.178
```

Summary:
As for the crystal system: tetragonal. The calculated formation energy comes out at 0.0348 eV/atom. As for the space group: P4/mmm.